Entry 1:
Computed, not measured: a geometry-optimized PmSc2Ru9 structure at the PBE level of DFT.

abc: 5.233 5.233 9.061
angles: 73.22 73.22 60.00
Element x y z (fractional)
1 Ru 0.592 0.072 0.743
2 Ru 0.072 0.592 0.743
3 Ru 0.339 0.339 0.983
4 Ru 0.408 0.408 0.257
5 Ru 0.661 0.661 0.017
6 Ru 0.928 0.408 0.257
7 Ru 0.500 0.500 0.500
8 Ru 0.408 0.928 0.257
9 Ru 0.592 0.592 0.743
10 Pm 0.000 0.000 0.000
11 Sc 0.860 0.860 0.420
12 Sc 0.140 0.140 0.580

Calculated values
As for the space-group type: R-3m, No. 166. As for the total DFT energy (no corrections): -102.54 eV/cell.



Entry 2:
Computed, not measured: a geometry-optimized CaAlGaO4 structure at the PBE level of DFT.

abc: 5.226 5.495 6.495
angles: 90.00 107.56 90.00
Element x y z (fractional)
1 Ga 0.129 0.250 0.488
2 Ga 0.871 0.750 0.512
3 Ca 0.292 0.250 0.039
4 Ca 0.708 0.750 0.961
5 O 0.004 0.972 0.304
6 O 0.004 0.528 0.304
7 O 0.996 0.472 0.696
8 O 0.377 0.750 0.097
9 O 0.996 0.028 0.696
10 O 0.538 0.750 0.570
11 O 0.462 0.250 0.430
12 O 0.623 0.250 0.903
13 Al 0.725 0.250 0.675
14 Al 0.275 0.750 0.325

Calculated values
As for the space-group type: P2_1/m, No. 11. As for the formation energy without anion corrections: -2.41 eV/atom.